Computed, not measured: a relaxed structure of PaNiHgO5 at the GGA+U level of DFT.

abc: 5.7871 5.7871 7.2656
angles: 90.90 90.90 120.08
Fractional positions:
1 Pa 0.0000 0.0000 0.0000
2 Pa 0.0000 0.0000 0.5000
3 Ni 0.3429 0.6571 0.7500
4 Ni 0.6571 0.3429 0.2500
5 Hg 0.3507 0.6493 0.2500
6 Hg 0.6493 0.3507 0.7500
7 O 0.0636 0.3385 0.6448
8 O 0.1295 0.8705 0.7500
9 O 0.2303 0.4614 0.9786
10 O 0.3385 0.0636 0.1448
11 O 0.4614 0.2303 0.4786
12 O 0.5386 0.7697 0.5214
13 O 0.6615 0.9364 0.8552
14 O 0.7697 0.5386 0.0214
15 O 0.8705 0.1295 0.2500
16 O 0.9364 0.6615 0.3552

Summary:
space group	C2/c, No. 15
calculated total energy	-101.420	eV per cell
D(E_F)	0.26	states/eV per atom
magnetic moment	1.021	μB per formula unit